First-principles (GGA+U) data for crystalline LiMnPO4 at its relaxed geometry, as listed in the Alexandria database.

Summary:
E above lowest polymorph   35.6 meV/atom
Electronic total energy   -200.10 eV for the cell shown
Size of the total moment   20.00 Bohr magnetons per cell
DOS(E_F)   0.00 states/eV/atom

abc: 6.191 5.273 10.580
angles: 65.28 90.00 90.00
Site moments in Bohr magnetons follow the coordinates.
Element x y z (fractional)
Li  0.641  0.911  0.926  0.00
Li  0.141  0.089  0.574  0.00
Li  0.859  0.911  0.426  0.00
Li  0.359  0.089  0.074  0.00
Mn  0.608  0.449  0.336  4.67
Mn  0.108  0.551  0.164  4.67
Mn  0.892  0.449  0.836  4.67
Mn  0.392  0.551  0.664  4.67
P  0.348  0.896  0.365  0.01
P  0.848  0.104  0.135  0.01
P  0.152  0.896  0.865  0.01
P  0.652  0.104  0.635  0.01
O  0.146  0.218  0.775  0.03
O  0.854  0.782  0.225  0.03
O  0.561  0.785  0.448  0.03
O  0.164  0.813  0.474  0.02
O  0.669  0.249  0.738  0.03
O  0.331  0.751  0.262  0.03
O  0.439  0.215  0.552  0.03
O  0.836  0.187  0.526  0.02
O  0.336  0.813  0.974  0.02
O  0.939  0.785  0.948  0.03
O  0.664  0.187  0.026  0.02
O  0.354  0.218  0.275  0.03
O  0.646  0.782  0.725  0.03
O  0.169  0.751  0.762  0.03
O  0.061  0.215  0.052  0.03
O  0.831  0.249  0.238  0.03